Entry 1:
Below is a relaxed Sm6DyHo6 crystal, with properties calculated at the PBE level.

Properties
- Calculated volume: 442 Å³/cell
- Energy relative to the elements: 351 kJ/mol of formula units
- DOS(E_F): 2.039 states/eV/atom
- Space-group type: No. 191

Cell lengths 6.700, 6.700, 11.366 Å; angles 90.00, 90.00, 120.00 degrees
Element x y z (fractional)
Sm (0.000, 0.000, 0.656)
Sm (0.000, 0.000, 0.344)
Sm (0.333, 0.667, 0.000)
Sm (0.667, 0.333, 0.000)
Sm (0.333, 0.667, 0.500)
Sm (0.667, 0.333, 0.500)
Dy (0.000, 0.000, 0.000)
Ho (0.000, 0.500, 0.755)
Ho (0.500, 0.000, 0.755)
Ho (0.500, 0.500, 0.755)
Ho (0.500, 0.000, 0.245)
Ho (0.000, 0.500, 0.245)
Ho (0.500, 0.500, 0.245)



Entry 2:
Below is a relaxed Sm4Dy5Ho2 crystal, with properties calculated at the PBE level.

Properties
- Calculated volume: 357 Å³/cell
- Energy relative to the elements: 100 kJ/mol of formula units
- DOS(E_F): 1.626 states/eV/atom
- Space-group type: No. 12

Cell lengths 5.693, 9.150, 24.119 Å; angles 162.09, 96.78, 90.00 degrees
Element x y z (fractional)
Sm (0.307, 0.259, 0.614)
Sm (0.961, 0.120, 0.923)
Sm (0.693, 0.741, 0.386)
Sm (0.039, 0.880, 0.077)
Dy (0.854, 0.253, 0.709)
Dy (0.146, 0.747, 0.291)
Dy (0.764, 0.456, 0.528)
Dy (0.500, 0.000, 0.000)
Dy (0.236, 0.544, 0.472)
Ho (0.398, 0.078, 0.796)
Ho (0.602, 0.922, 0.204)



Entry 3:
Below is a relaxed SmDy6Ho5 crystal, with properties calculated at the PBE level.

Properties
- Calculated volume: 376 Å³/cell
- Energy relative to the elements: 20 kJ/mol of formula units
- DOS(E_F): 1.288 states/eV/atom
- Space-group type: No. 12

Cell lengths 6.132, 6.128, 11.736 Å; angles 85.02, 80.01, 59.98 degrees
Element x y z (fractional)
Ho (0.167, 0.666, 0.500)
Ho (0.333, 0.333, 0.000)
Ho (0.500, 0.000, 0.500)
Ho (0.667, 0.667, 0.000)
Ho (0.833, 0.334, 0.500)
Sm (0.000, 0.000, 0.000)
Dy (0.583, 0.334, 0.251)
Dy (0.083, 0.334, 0.749)
Dy (0.749, 0.000, 0.749)
Dy (0.251, 0.000, 0.251)
Dy (0.917, 0.666, 0.251)
Dy (0.417, 0.666, 0.749)



Entry 4:
Below is a relaxed Sm6Dy2Ho crystal, with properties calculated at the PBE level.

Properties
- Calculated volume: 299 Å³/cell
- Energy relative to the elements: 115 kJ/mol of formula units
- DOS(E_F): 1.369 states/eV/atom
- Space-group type: No. 65

Cell lengths 3.641, 9.960, 9.960 Å; angles 55.97, 90.00, 90.00 degrees
Element x y z (fractional)
Sm (0.000, 0.512, 0.159)
Sm (0.000, 0.841, 0.488)
Sm (0.000, 0.488, 0.841)
Sm (0.500, 0.684, 0.316)
Sm (0.000, 0.159, 0.512)
Sm (0.500, 0.316, 0.684)
Dy (0.500, 0.179, 0.179)
Dy (0.500, 0.821, 0.821)
Ho (0.000, 0.000, 0.000)